[1]
LaRu3Br: single point on PBEsol structure, meta-GGA SCAN.

formation energy (no corrections)	0.808	eV per atom
size of the total moment	0.448	μB per atom
V	96.6	Å³/cell

Geometry as CIF:
```
data_LaRu3Br
_chemical_formula_sum 'La1 Ru3 Br1'
_cell_length_a 4.588
_cell_length_b 4.588
_cell_length_c 4.588
_cell_angle_alpha 90.00
_cell_angle_beta 90.00
_cell_angle_gamma 90.00
_space_group_name_H-M_alt 'P 1'
_space_group_IT_number 1
loop_
_space_group_symop_operation_xyz
'x,y,z'
loop_
_atom_site_label
_atom_site_fract_x
_atom_site_fract_y
_atom_site_fract_z
La1 0.000 0.000 0.000
Ru1 0.000 0.500 0.500
Ru2 0.500 0.000 0.500
Ru3 0.500 0.500 0.000
Br1 0.500 0.500 0.500
```

[2]
LaRu2Br: single point on PBEsol structure, meta-GGA SCAN.

relative energy among the computed polymorphs	574.4	meV per atom
formation energy (no corrections)	0.442	eV per atom
size of the total moment	0.000	μB per atom
V	72.7	Å³/cell

Geometry as CIF:
```
data_LaRu2Br
_chemical_formula_sum 'La1 Ru2 Br1'
_cell_length_a 5.432
_cell_length_b 5.432
_cell_length_c 5.432
_cell_angle_alpha 137.37
_cell_angle_beta 137.37
_cell_angle_gamma 61.87
_space_group_name_H-M_alt 'P 1'
_space_group_IT_number 1
loop_
_space_group_symop_operation_xyz
'x,y,z'
loop_
_atom_site_label
_atom_site_fract_x
_atom_site_fract_y
_atom_site_fract_z
La1 0.000 0.000 0.000
Ru1 0.500 0.500 0.000
Ru2 0.750 0.250 0.500
Br1 0.250 0.750 0.500
```

[3]
LaRu2Br: single point on PBEsol structure, meta-GGA SCAN.

relative energy among the computed polymorphs	0.0	meV per atom
formation energy (no corrections)	-0.132	eV per atom
size of the total moment	0.000	μB per atom
V	87.0	Å³/cell

Geometry as CIF:
```
data_LaRu2Br
_chemical_formula_sum 'La1 Ru2 Br1'
_cell_length_a 3.387
_cell_length_b 3.368
_cell_length_c 7.796
_cell_angle_alpha 90.00
_cell_angle_beta 102.00
_cell_angle_gamma 90.00
_space_group_name_H-M_alt 'P 1'
_space_group_IT_number 1
loop_
_space_group_symop_operation_xyz
'x,y,z'
loop_
_atom_site_label
_atom_site_fract_x
_atom_site_fract_y
_atom_site_fract_z
La1 0.000 0.000 0.000
Ru1 0.178 0.000 0.374
Ru2 0.631 0.500 0.273
Br1 0.379 0.500 0.746
```

[4]
LaRuBr3: single point on PBEsol structure, meta-GGA SCAN.

relative energy among the computed polymorphs	0.0	meV per atom
formation energy (no corrections)	-0.530	eV per atom
size of the total moment	0.047	μB per atom
V	119.9	Å³/cell

Geometry as CIF:
```
data_LaRuBr3
_chemical_formula_sum 'La1 Ru1 Br3'
_cell_length_a 4.931
_cell_length_b 4.931
_cell_length_c 4.931
_cell_angle_alpha 90.00
_cell_angle_beta 90.00
_cell_angle_gamma 90.00
_space_group_name_H-M_alt 'P 1'
_space_group_IT_number 1
loop_
_space_group_symop_operation_xyz
'x,y,z'
loop_
_atom_site_label
_atom_site_fract_x
_atom_site_fract_y
_atom_site_fract_z
La1 0.000 0.000 0.000
Ru1 0.500 0.500 0.500
Br1 0.000 0.500 0.500
Br2 0.500 0.000 0.500
Br3 0.500 0.500 0.000
```

[5]
LaRu2Br: single point on PBEsol structure, meta-GGA SCAN.

relative energy among the computed polymorphs	455.4	meV per atom
formation energy (no corrections)	0.323	eV per atom
size of the total moment	0.658	μB per atom
V	75.9	Å³/cell

Geometry as CIF:
```
data_LaRu2Br
_chemical_formula_sum 'La1 Ru2 Br1'
_cell_length_a 3.985
_cell_length_b 3.985
_cell_length_c 4.778
_cell_angle_alpha 90.00
_cell_angle_beta 90.00
_cell_angle_gamma 90.00
_space_group_name_H-M_alt 'P 1'
_space_group_IT_number 1
loop_
_space_group_symop_operation_xyz
'x,y,z'
loop_
_atom_site_label
_atom_site_fract_x
_atom_site_fract_y
_atom_site_fract_z
La1 0.000 0.000 0.000
Ru1 0.000 0.500 0.500
Ru2 0.500 0.000 0.500
Br1 0.500 0.500 0.000
```

[6]
LaSbRu2Br: single point on PBEsol structure, meta-GGA SCAN.

formation energy (no corrections)	0.446	eV per atom
size of the total moment	0.196	μB per atom
V	127.5	Å³/cell

Geometry as CIF:
```
data_LaSbRu2Br
_chemical_formula_sum 'La1 Sb1 Ru2 Br1'
_cell_length_a 4.791
_cell_length_b 4.791
_cell_length_c 5.558
_cell_angle_alpha 90.00
_cell_angle_beta 90.00
_cell_angle_gamma 90.00
_space_group_name_H-M_alt 'P 1'
_space_group_IT_number 1
loop_
_space_group_symop_operation_xyz
'x,y,z'
loop_
_atom_site_label
_atom_site_fract_x
_atom_site_fract_y
_atom_site_fract_z
La1 0.000 0.000 0.000
Sb1 0.500 0.500 0.500
Ru1 0.000 0.500 0.500
Ru2 0.500 0.000 0.500
Br1 0.500 0.500 0.000
```

[7]
LaS2Br: single point on PBEsol structure, meta-GGA SCAN.

formation energy (no corrections)	-0.984	eV per atom
size of the total moment	0.506	μB per atom
V	87.4	Å³/cell

Geometry as CIF:
```
data_LaS2Br
_chemical_formula_sum 'La1 S2 Br1'
_cell_length_a 4.981
_cell_length_b 4.981
_cell_length_c 4.981
_cell_angle_alpha 60.00
_cell_angle_beta 60.00
_cell_angle_gamma 60.00
_space_group_name_H-M_alt 'P 1'
_space_group_IT_number 1
loop_
_space_group_symop_operation_xyz
'x,y,z'
loop_
_atom_site_label
_atom_site_fract_x
_atom_site_fract_y
_atom_site_fract_z
La1 0.000 0.000 0.000
S1 0.250 0.250 0.250
S2 0.750 0.750 0.750
Br1 0.500 0.500 0.500
```

[8]
La3Si2S8Br: single point on PBEsol structure, meta-GGA SCAN.

formation energy (no corrections)	-1.818	eV per atom
size of the total moment	0.000	μB per atom
V	656.1	Å³/cell

Geometry as CIF:
```
data_La3Si2S8Br
_chemical_formula_sum 'La6 Si4 S16 Br2'
_cell_length_a 8.721
_cell_length_b 8.721
_cell_length_c 10.886
_cell_angle_alpha 96.43
_cell_angle_beta 96.43
_cell_angle_gamma 53.02
_space_group_name_H-M_alt 'P 1'
_space_group_IT_number 1
loop_
_space_group_symop_operation_xyz
'x,y,z'
loop_
_atom_site_label
_atom_site_fract_x
_atom_site_fract_y
_atom_site_fract_z
La1 0.107 0.893 0.750
La2 0.186 0.425 0.317
La3 0.425 0.186 0.817
La4 0.575 0.814 0.183
La5 0.814 0.575 0.683
La6 0.893 0.107 0.250
Si1 0.127 0.194 0.030
Si2 0.194 0.127 0.530
Si3 0.806 0.873 0.470
Si4 0.873 0.806 0.970
S1 0.052 0.246 0.840
S2 0.090 0.781 0.451
S3 0.100 0.606 0.854
S4 0.211 0.359 0.585
S5 0.219 0.910 0.049
S6 0.246 0.052 0.340
S7 0.359 0.211 0.085
S8 0.394 0.900 0.646
S9 0.606 0.100 0.354
S10 0.641 0.789 0.915
S11 0.754 0.948 0.660
S12 0.781 0.090 0.951
S13 0.789 0.641 0.415
S14 0.900 0.394 0.146
S15 0.910 0.219 0.549
S16 0.948 0.754 0.160
Br1 0.494 0.506 0.250
Br2 0.506 0.494 0.750
```

[9]
La9Sb16Br3: single point on PBEsol structure, meta-GGA SCAN.

formation energy (no corrections)	-1.194	eV per atom
size of the total moment	0.000	μB per atom
V	1655.3	Å³/cell

Geometry as CIF:
```
data_La9Sb16Br3
_chemical_formula_sum 'La18 Sb32 Br6'
_cell_length_a 21.100
_cell_length_b 21.100
_cell_length_c 4.293
_cell_angle_alpha 90.00
_cell_angle_beta 90.00
_cell_angle_gamma 120.00
_space_group_name_H-M_alt 'P 1'
_space_group_IT_number 1
loop_
_space_group_symop_operation_xyz
'x,y,z'
loop_
_atom_site_label
_atom_site_fract_x
_atom_site_fract_y
_atom_site_fract_z
La1 0.007 0.605 0.250
La2 0.094 0.849 0.250
La3 0.151 0.245 0.250
La4 0.233 0.541 0.750
La5 0.245 0.094 0.750
La6 0.308 0.767 0.750
La7 0.395 0.402 0.250
La8 0.402 0.007 0.750
La9 0.459 0.692 0.750
La10 0.541 0.308 0.250
La11 0.598 0.993 0.250
La12 0.605 0.598 0.750
La13 0.692 0.233 0.250
La14 0.755 0.906 0.250
La15 0.767 0.459 0.250
La16 0.849 0.755 0.750
La17 0.906 0.151 0.750
La18 0.993 0.395 0.750
Sb1 0.009 0.285 0.250
Sb2 0.104 0.515 0.250
Sb3 0.131 0.357 0.750
Sb4 0.137 0.628 0.750
Sb5 0.178 0.750 0.250
Sb6 0.226 0.869 0.750
Sb7 0.250 0.428 0.250
Sb8 0.276 0.991 0.250
Sb9 0.285 0.276 0.750
Sb10 0.333 0.667 0.250
Sb11 0.357 0.226 0.250
Sb12 0.372 0.509 0.750
Sb13 0.410 0.896 0.250
Sb14 0.428 0.178 0.750
Sb15 0.485 0.590 0.250
Sb16 0.491 0.863 0.750
Sb17 0.509 0.137 0.250
Sb18 0.515 0.410 0.750
Sb19 0.572 0.822 0.250
Sb20 0.590 0.104 0.750
Sb21 0.628 0.491 0.250
Sb22 0.643 0.774 0.750
Sb23 0.667 0.333 0.750
Sb24 0.715 0.724 0.250
Sb25 0.724 0.009 0.750
Sb26 0.750 0.572 0.750
Sb27 0.774 0.131 0.250
Sb28 0.822 0.250 0.750
Sb29 0.863 0.372 0.250
Sb30 0.869 0.643 0.250
Sb31 0.896 0.485 0.750
Sb32 0.991 0.715 0.750
Br1 0.050 0.148 0.750
Br2 0.098 0.950 0.750
Br3 0.148 0.098 0.250
Br4 0.852 0.902 0.750
Br5 0.902 0.050 0.250
Br6 0.950 0.852 0.250
```

[10]
La3SbBr: single point on PBEsol structure, meta-GGA SCAN.

formation energy (no corrections)	-0.611	eV per atom
size of the total moment	0.000	μB per atom
V	166.0	Å³/cell

Geometry as CIF:
```
data_La3SbBr
_chemical_formula_sum 'La3 Sb1 Br1'
_cell_length_a 5.496
_cell_length_b 5.496
_cell_length_c 5.496
_cell_angle_alpha 90.00
_cell_angle_beta 90.00
_cell_angle_gamma 90.00
_space_group_name_H-M_alt 'P 1'
_space_group_IT_number 1
loop_
_space_group_symop_operation_xyz
'x,y,z'
loop_
_atom_site_label
_atom_site_fract_x
_atom_site_fract_y
_atom_site_fract_z
La1 0.000 0.000 0.500
La2 0.000 0.500 0.000
La3 0.500 0.000 0.000
Sb1 0.500 0.500 0.500
Br1 0.000 0.000 0.000
```

[11]
LaSbBr: single point on PBEsol structure, meta-GGA SCAN.

formation energy (no corrections)	-0.781	eV per atom
size of the total moment	0.090	μB per atom
V	91.0	Å³/cell

Geometry as CIF:
```
data_LaSbBr
_chemical_formula_sum 'La1 Sb1 Br1'
_cell_length_a 5.049
_cell_length_b 5.049
_cell_length_c 5.049
_cell_angle_alpha 60.00
_cell_angle_beta 60.00
_cell_angle_gamma 60.00
_space_group_name_H-M_alt 'P 1'
_space_group_IT_number 1
loop_
_space_group_symop_operation_xyz
'x,y,z'
loop_
_atom_site_label
_atom_site_fract_x
_atom_site_fract_y
_atom_site_fract_z
La1 0.000 0.000 0.000
Sb1 0.500 0.500 0.500
Br1 0.750 0.750 0.750
```

[12]
LaSbSe2Br: single point on PBEsol structure, meta-GGA SCAN.

formation energy (no corrections)	-0.533	eV per atom
size of the total moment	0.201	μB per atom
V	181.3	Å³/cell

Geometry as CIF:
```
data_LaSbSe2Br
_chemical_formula_sum 'La1 Sb1 Se2 Br1'
_cell_length_a 5.725
_cell_length_b 5.725
_cell_length_c 5.531
_cell_angle_alpha 90.00
_cell_angle_beta 90.00
_cell_angle_gamma 90.00
_space_group_name_H-M_alt 'P 1'
_space_group_IT_number 1
loop_
_space_group_symop_operation_xyz
'x,y,z'
loop_
_atom_site_label
_atom_site_fract_x
_atom_site_fract_y
_atom_site_fract_z
La1 0.000 0.000 0.000
Sb1 0.500 0.500 0.500
Se1 0.000 0.500 0.000
Se2 0.500 0.000 0.000
Br1 0.000 0.000 0.500
```